1.
A plane-wave DFT calculation with PBE-GGA was carried out for a relaxed structure of Ba2LiFe.

Energy of formation in eV/f.u.: 2.74
DOS(E_F) in states/eV per atom: 2.242
Offset from the most stable computed form in meV/atom: 238.6
Total energy in eV/atom: -2.87

Cell lengths 5.547, 5.547, 5.547 Å; angles 60.00, 60.00, 60.00 degrees
Fractional coordinates of all 4 atoms:
Ba 0.250 0.250 0.250
Ba 0.750 0.750 0.750
Li 0.000 0.000 0.000
Fe 0.500 0.500 0.500

=====

2.
A plane-wave DFT calculation with PBE-GGA was carried out for a relaxed structure of FeSiPRh2.

E_form (uncorrected) in meV per atom: 953.0
DOS(E_F) in states/eV per atom: 1.410
Total energy in eV/atom: -5.85

Cell lengths 4.476, 4.476, 4.207 Å; angles 90.00, 90.00, 90.00 degrees
Fractional coordinates of all 5 atoms:
Fe 0.000 0.000 0.000
Si 0.000 0.000 0.500
P 0.500 0.500 0.500
Rh 0.000 0.500 0.000
Rh 0.500 0.000 0.000

=====

3.
A plane-wave DFT calculation with PBE-GGA was carried out for a relaxed structure of HfPN2.

E_form (uncorrected) in meV per atom: -584.0
DOS(E_F) in states/eV per atom: 0.268
Total energy in eV/atom: -8.59

Cell lengths 6.192, 6.192, 6.192 Å; angles 30.02, 30.02, 30.02 degrees
Fractional coordinates of all 4 atoms:
Hf 0.000 0.000 0.000
P 0.500 0.500 0.500
N 0.399 0.399 0.399
N 0.601 0.601 0.601

=====

4.
A plane-wave DFT calculation with PBE-GGA was carried out for a relaxed structure of La3Dy2Ga4.

Energy of formation in eV/f.u.: -4.22
DOS(E_F) in states/eV per atom: 0.676
Total energy in eV/atom: -4.48

Cell lengths 6.445, 6.445, 9.797 Å; angles 114.89, 114.89, 42.16 degrees
Fractional coordinates of all 9 atoms:
La 0.000 0.000 0.000
La 0.360 0.360 0.306
La 0.640 0.640 0.694
Dy 0.347 0.347 0.680
Dy 0.653 0.653 0.320
Ga 0.067 0.067 0.420
Ga 0.295 0.295 0.960
Ga 0.705 0.705 0.040
Ga 0.933 0.933 0.580

=====

5.
A plane-wave DFT calculation with PBE-GGA was carried out for a relaxed structure of Rb2ThMgSe4.

E_form (uncorrected) in meV per atom: -1455.4
DOS(E_F) in states/eV per atom: 0.000
Total energy in eV/atom: -4.57

Cell lengths 7.262, 4.316, 8.403 Å; angles 90.00, 107.74, 90.00 degrees
Fractional coordinates of all 8 atoms:
Rb 0.000 0.000 0.000
Rb 0.500 0.500 0.000
Th 0.000 0.500 0.500
Mg 0.500 0.000 0.500
Se 0.235 0.000 0.700
Se 0.277 0.500 0.313
Se 0.723 0.500 0.687
Se 0.765 0.000 0.300

=====

6.
A plane-wave DFT calculation with PBE-GGA was carried out for a relaxed structure of Be2Zn2Cd.

Energy of formation in eV/f.u.: 1.65
DOS(E_F) in states/eV per atom: 0.314
Offset from the most stable computed form in meV/atom: 7.2
Total energy in eV/atom: -1.85

Cell lengths 6.627, 6.627, 3.194 Å; angles 90.00, 90.00, 90.00 degrees
Fractional coordinates of all 10 atoms:
Be 0.119 0.381 0.000
Be 0.381 0.881 0.000
Be 0.619 0.119 0.000
Be 0.881 0.619 0.000
Zn 0.165 0.665 0.500
Zn 0.335 0.165 0.500
Zn 0.665 0.835 0.500
Zn 0.835 0.335 0.500
Cd 0.000 0.000 0.000
Cd 0.500 0.500 0.000

=====

7.
A plane-wave DFT calculation with PBE-GGA was carried out for a relaxed structure of TlH2Br.

DOS(E_F) in states/eV per atom: 0.000
Offset from the most stable computed form in meV/atom: 0.0
Total energy in eV/atom: -3.07

Cell lengths 4.699, 4.699, 4.401 Å; angles 99.00, 99.00, 71.69 degrees
Fractional coordinates of all 4 atoms:
Tl 0.000 0.000 0.000
H 0.321 0.321 0.743
H 0.403 0.403 0.668
Br 0.687 0.687 0.351

=====

8.
A plane-wave DFT calculation with PBE-GGA was carried out for a relaxed structure of MnCoAu2.

Energy of formation in eV/f.u.: 1.61
DOS(E_F) in states/eV per atom: 0.626
Total energy in eV/atom: -5.31

Cell lengths 5.721, 5.721, 5.721 Å; angles 102.66, 102.66, 124.18 degrees
Fractional coordinates of all 8 atoms:
Mn 0.000 0.000 0.000
Mn 0.750 0.250 0.500
Co 0.250 0.750 0.500
Co 0.500 0.500 0.000
Au 0.139 0.125 0.514
Au 0.375 0.861 0.986
Au 0.611 0.625 0.486
Au 0.875 0.389 0.014

=====

9.
A plane-wave DFT calculation with PBE-GGA was carried out for a relaxed structure of K8HgAu6.

Energy of formation in eV/f.u.: -3.78
DOS(E_F) in states/eV per atom: 0.510
Total energy in eV/atom: -2.17

Cell lengths 8.755, 8.755, 8.755 Å; angles 69.12, 69.12, 69.12 degrees
Fractional coordinates of all 15 atoms:
K 0.115 0.387 0.689
K 0.168 0.168 0.168
K 0.311 0.885 0.613
K 0.387 0.689 0.115
K 0.613 0.311 0.885
K 0.689 0.115 0.387
K 0.832 0.832 0.832
K 0.885 0.613 0.311
Hg 0.500 0.500 0.500
Au 0.063 0.813 0.443
Au 0.187 0.557 0.937
Au 0.443 0.063 0.813
Au 0.557 0.937 0.187
Au 0.813 0.443 0.063
Au 0.937 0.187 0.557

=====

10.
A plane-wave DFT calculation with PBE-GGA was carried out for a relaxed structure of BaAgO3.

E_form (uncorrected) in meV per atom: -589.8
DOS(E_F) in states/eV per atom: 0.086
Total energy in eV/atom: -4.52

Cell lengths 3.414, 6.395, 6.395 Å; angles 63.97, 90.00, 90.00 degrees
Fractional coordinates of all 5 atoms:
Ba 0.000 0.000 0.000
Ag 0.500 0.354 0.354
O 0.000 0.187 0.552
O 0.000 0.552 0.187
O 0.500 0.154 0.154

=====

11.
A plane-wave DFT calculation with PBE-GGA was carried out for a relaxed structure of LiCdRh2.

Energy of formation in eV/f.u.: 0.09
DOS(E_F) in states/eV per atom: 1.198
Total energy in eV/atom: -4.36

Cell lengths 2.768, 2.768, 8.909 Å; angles 90.00, 90.00, 115.77 degrees
Fractional coordinates of all 4 atoms:
Li 0.000 0.000 0.000
Cd 0.000 0.000 0.500
Rh 0.500 0.500 0.238
Rh 0.500 0.500 0.762

=====

12.
A plane-wave DFT calculation with PBE-GGA was carried out for a relaxed structure of Sb2TeOsPb.

E_form (uncorrected) in meV per atom: 493.3
DOS(E_F) in states/eV per atom: 0.702
Offset from the most stable computed form in meV/atom: 0.0
Total energy in eV/atom: -4.77

Cell lengths 5.037, 5.037, 5.935 Å; angles 90.00, 90.00, 90.00 degrees
Fractional coordinates of all 5 atoms:
Sb 0.000 0.500 0.000
Sb 0.500 0.000 0.000
Te 0.000 0.000 0.500
Os 0.000 0.000 0.000
Pb 0.500 0.500 0.500